Entry 1:
# TbHO2 PBEsol relaxed
# DFT total energy: -7.312 eV per atom
data_TbHO2
_symmetry_space_group_name_H-M 'P m m n'
_symmetry_Int_Tables_number 59
_cell_length_a 3.657
_cell_length_b 4.445
_cell_length_c 5.438
_cell_angle_alpha 90.00
_cell_angle_beta 90.00
_cell_angle_gamma 90.00
loop_
_symmetry_equiv_pos_as_xyz
'x,y,z'
'-x,-y,-z'
'-x+1/2,-y+1/2,z'
'x+1/2,y+1/2,-z'
'x+1/2,-y,-z'
'-x+1/2,y,z'
'-x,y+1/2,-z'
'x,-y+1/2,z'
loop_
_atom_site_label
_atom_site_type_symbol
_atom_site_fract_x
_atom_site_fract_y
_atom_site_fract_z
Tb1 Tb 0.250 0.250 0.195
H1 H 0.250 0.750 0.381
O1 O 0.250 0.750 0.078
O2 O 0.250 0.750 0.565

Entry 2:
# Li2YW PBEsol relaxed
# calculated formation energy: 0.564 eV/atom
data_Li2YW
_symmetry_space_group_name_H-M 'C 1 2/m 1'
_symmetry_Int_Tables_number 12
_cell_length_a 10.612
_cell_length_b 2.772
_cell_length_c 5.200
_cell_angle_alpha 90.00
_cell_angle_beta 96.92
_cell_angle_gamma 90.00
loop_
_symmetry_equiv_pos_as_xyz
'x,y,z'
'-x,-y,-z'
'-x,y,-z'
'x,-y,z'
'x+1/2,y+1/2,z'
'-x+1/2,-y+1/2,-z'
'-x+1/2,y+1/2,-z'
'x+1/2,-y+1/2,z'
loop_
_atom_site_label
_atom_site_type_symbol
_atom_site_fract_x
_atom_site_fract_y
_atom_site_fract_z
Li1 Li 0.239 0.000 0.209
Y1 Y 0.000 0.000 0.500
W1 W 0.000 0.500 0.000

Entry 3:
# Ba2LaPt PBEsol relaxed
# calculated formation energy: -0.452 eV/atom
data_Ba2LaPt
_symmetry_space_group_name_H-M 'A m m 2'
_symmetry_Int_Tables_number 38
_cell_length_a 4.014
_cell_length_b 4.250
_cell_length_c 19.029
_cell_angle_alpha 90.00
_cell_angle_beta 90.00
_cell_angle_gamma 90.00
loop_
_symmetry_equiv_pos_as_xyz
'x,y,z'
'-x,-y,z'
'-x,y,z'
'x,-y,z'
'x,y+1/2,z+1/2'
'-x,-y+1/2,z+1/2'
'-x,y+1/2,z+1/2'
'x,-y+1/2,z+1/2'
loop_
_atom_site_label
_atom_site_type_symbol
_atom_site_fract_x
_atom_site_fract_y
_atom_site_fract_z
Ba1 Ba 0.000 0.000 0.000
Ba2 Ba 0.500 0.000 0.316
La1 La 0.000 0.000 0.663
Pt1 Pt 0.500 0.000 0.146

Entry 4:
# CoPt5 PBEsol relaxed
# calculated formation energy: 0.035 eV/atom
data_CoPt5
_symmetry_space_group_name_H-M 'P -6 2 m'
_symmetry_Int_Tables_number 189
_symmetry_space_group_name_Hall 'P -6 -2'
_cell_length_a 4.7196
_cell_length_b 4.7196
_cell_length_c 4.4972
_cell_angle_alpha 90.00
_cell_angle_beta 90.00
_cell_angle_gamma 120.00
loop_
_atom_site_label
_atom_site_type_symbol
_atom_site_fract_x
_atom_site_fract_y
_atom_site_fract_z
Co1 Co 0.0000 0.0000 0.0000
Pt1 Pt 0.0000 0.3285 0.5000
Pt2 Pt 0.3333 0.6667 0.0000

Entry 5:
# CdCu2SiTe4 PBEsol relaxed
# uncorrected formation energy: -0.133 eV per atom
data_CdCu2SiTe4
_symmetry_space_group_name_H-M 'I -4 2 m'
_symmetry_Int_Tables_number 121
_symmetry_space_group_name_Hall 'I -4 2'
_cell_length_a 6.090
_cell_length_b 6.090
_cell_length_c 11.768
_cell_angle_alpha 90.00
_cell_angle_beta 90.00
_cell_angle_gamma 90.00
loop_
_atom_site_label
_atom_site_type_symbol
_atom_site_fract_x
_atom_site_fract_y
_atom_site_fract_z
Cd1 Cd 0.000 0.000 0.000
Cu1 Cu 0.000 0.500 0.250
Si1 Si 0.000 0.000 0.500
Te1 Te 0.231 0.231 0.364

Entry 6:
# SiTcPt2 PBEsol relaxed
# uncorrected formation energy: -0.221 eV per atom
data_SiTcPt2
_symmetry_space_group_name_H-M 'C m m m'
_symmetry_Int_Tables_number 65
_symmetry_space_group_name_Hall '-C 2 2'
_cell_length_a 5.258
_cell_length_b 7.941
_cell_length_c 2.710
_cell_angle_alpha 90.00
_cell_angle_beta 90.00
_cell_angle_gamma 90.00
loop_
_atom_site_label
_atom_site_type_symbol
_atom_site_fract_x
_atom_site_fract_y
_atom_site_fract_z
Si1 Si 0.000 0.000 0.000
Tc1 Tc 0.000 0.500 0.000
Pt1 Pt 0.250 0.250 0.500